{"formula": "Pa2CdRh", "functional": "PBE-GGA", "state": "optimized geometry", "formation_energy_ev_per_atom": -0.17, "spacegroup": "P4/mmm, No. 123", "m_tot_mub_per_cell": 0.000, "e_tot_ev_per_cell": -27.936, "e_above_lowest_polymorph_mev_per_atom": 0, "cell": [[3.627, 0.000, 0.000], [0.000, 3.627, 0.000], [0.000, 0.000, 7.011]], "species": ["Cd", "Rh", "Pa", "Pa"], "frac_coords": [[0.500, 0.500, 0.500], [0.500, 0.500, 0.000], [0.000, 0.000, 0.797], [0.000, 0.000, 0.203]]}

=====

{"formula": "PaCd2Rh", "functional": "PBE-GGA", "state": "optimized geometry", "formation_energy_ev_per_atom": 0.25, "spacegroup": "R-3m, No. 166", "m_tot_mub_per_cell": 0.232, "e_tot_ev_per_cell": -17.681, "cell": [[2.979, 0.000, 0.000], [1.490, 2.580, 0.000], [1.490, 0.860, 11.130]], "species": ["Cd", "Cd", "Rh", "Pa"], "frac_coords": [[0.901, 0.901, 0.298], [0.099, 0.099, 0.702], [0.500, 0.500, 0.500], [0.000, 0.000, 0.000]]}

=====

{"formula": "PaCdRh2", "functional": "PBE-GGA", "state": "optimized geometry", "formation_energy_ev_per_atom": -0.54, "spacegroup": "P4/mmm, No. 123", "m_tot_mub_per_cell": 0.405, "e_tot_ev_per_cell": -27.265, "e_above_lowest_polymorph_mev_per_atom": 1, "cell": [[3.510, 0.000, 0.000], [0.000, 4.603, 0.000], [0.000, 0.000, 4.603]], "species": ["Pa", "Rh", "Cd", "Rh"], "frac_coords": [[0.500, 0.500, 0.500], [0.000, 0.500, 0.000], [0.500, 0.000, 0.000], [0.000, 0.000, 0.500]]}

=====

Copy entry 1 word for word.
{"formula": "Pa2CdRh", "functional": "PBE-GGA", "state": "optimized geometry", "formation_energy_ev_per_atom": -0.17, "spacegroup": "P4/mmm, No. 123", "m_tot_mub_per_cell": 0.000, "e_tot_ev_per_cell": -27.936, "e_above_lowest_polymorph_mev_per_atom": 0, "cell": [[3.627, 0.000, 0.000], [0.000, 3.627, 0.000], [0.000, 0.000, 7.011]], "species": ["Cd", "Rh", "Pa", "Pa"], "frac_coords": [[0.500, 0.500, 0.500], [0.500, 0.500, 0.000], [0.000, 0.000, 0.797], [0.000, 0.000, 0.203]]}

=====

Copy entry 1 word for word.
{"formula": "Pa2CdRh", "functional": "PBE-GGA", "state": "optimized geometry", "formation_energy_ev_per_atom": -0.17, "spacegroup": "P4/mmm, No. 123", "m_tot_mub_per_cell": 0.000, "e_tot_ev_per_cell": -27.936, "e_above_lowest_polymorph_mev_per_atom": 0, "cell": [[3.627, 0.000, 0.000], [0.000, 3.627, 0.000], [0.000, 0.000, 7.011]], "species": ["Cd", "Rh", "Pa", "Pa"], "frac_coords": [[0.500, 0.500, 0.500], [0.500, 0.500, 0.000], [0.000, 0.000, 0.797], [0.000, 0.000, 0.203]]}